1.
A relaxed structure of NaBe3W. Source: the Alexandria database, functional PBE.

```
NaBe3W
1.0
4.5217 0.0000 0.0000
0.0000 4.5217 0.0000
0.0000 0.0000 4.5217
Na Be W
1 3 1
direct
0.0000 0.0000 0.0000 Na
0.0000 0.5000 0.5000 Be
0.5000 0.0000 0.5000 Be
0.5000 0.5000 0.0000 Be
0.5000 0.5000 0.5000 W
```

Summary:
ΔH_f (0 K) = 1.2851 eV/atom
energy above the most stable polymorph in this dataset = 0 meV/atom


2.
A relaxed structure of La6TbHg. Source: the Alexandria database, functional PBE.

```
La6TbHg
1.0
5.0915 0.0000 0.0000
0.0000 5.0915 0.0000
0.0000 0.0000 10.3711
La Tb Hg
6 1 1
direct
0.0000 0.0000 0.0000 La
0.0000 0.0000 0.5000 La
0.0000 0.5000 0.2455 La
0.0000 0.5000 0.7545 La
0.5000 0.0000 0.2455 La
0.5000 0.0000 0.7545 La
0.5000 0.5000 0.5000 Tb
0.5000 0.5000 0.0000 Hg
```

Summary:
ΔH_f (0 K) = -0.0871 eV/atom
energy above the most stable polymorph in this dataset = 0 meV/atom


3.
A relaxed structure of LaZrRhSe2. Source: the Alexandria database, functional PBE.

```
LaZrRhSe2
1.0
5.1327 0.0000 0.0000
0.0000 5.1327 0.0000
0.0000 0.0000 4.7643
La Zr Rh Se
1 1 1 2
direct
0.0000 0.0000 0.0000 La
0.5000 0.5000 0.0000 Zr
0.5000 0.5000 0.5000 Rh
0.0000 0.5000 0.5000 Se
0.5000 0.0000 0.5000 Se
```

Summary:
formation energy (no corrections) = -0.4013 eV/atom


4.
A relaxed structure of LiPmZnRh. Source: the Alexandria database, functional PBE.

```
LiPmZnRh
1.0
0.0000 3.3263 3.3263
3.3263 0.0000 3.3263
3.3263 3.3263 0.0000
Li Pm Zn Rh
1 1 1 1
direct
0.0000 0.0000 0.0000 Li
0.2500 0.2500 0.2500 Pm
0.7500 0.7500 0.7500 Zn
0.5000 0.5000 0.5000 Rh
```

Summary:
ΔH_f (0 K) = -0.3741 eV/atom